Computed, not measured: a relaxed structure of CsPmFe at the PBE level of DFT.

Output
Crystal system   cubic
Magnetic moment   0.9366 μB per atom
Total DFT energy (no corrections)   -3.027 eV/atom
V   91.57 Å³ per cell

a = 5.0593 Å, b = 5.0593 Å, c = 5.0593 Å
α = 60.00°, β = 60.00°, γ = 60.00°
Each line ends with the local moment (μB).
Atoms (fractional coordinates):
Cs 0.0000 0.0000 0.0000  0.02
Fe 0.7500 0.7500 0.7500  2.88
Pm 0.2500 0.2500 0.2500  -0.09